No. 1
{
  "formula": "BeZn2Mo",
  "functional": "PBE",
  "state": "relaxed",
  "cell": [[2.5443, -4.3695, 0.0000], [2.5443, 4.3695, 0.0000], [-0.8096, 0.0000, 2.4396]],
  "species": ["Be", "Zn", "Zn", "Mo"],
  "frac_coords": [[0.0000, 0.0000, 0.0000], [0.0000, 0.5000, 0.5000], [0.5000, 0.0000, 0.5000], [0.5000, 0.5000, 0.0000]],
  "vol_a3_per_cell": 54.24,
  "space_group": "No. 12",
  "formation_enthalpy_0k_ev_per_atom": 0.14,
  "dos_at_fermi_per_ev_atom": 0.3999,
  "magmom_total_mub_per_cell": 0.00
}

No. 2
{
  "formula": "BeCrTc2",
  "functional": "PBE",
  "state": "relaxed",
  "cell": [[2.9884, 0.0000, 0.0000], [0.0000, 2.9884, 0.0000], [0.0000, 0.0000, 5.5088]],
  "species": ["Be", "Cr", "Tc", "Tc"],
  "frac_coords": [[0.0000, 0.0000, 0.0000], [0.0000, 0.0000, 0.5000], [0.5000, 0.5000, 0.2356], [0.5000, 0.5000, 0.7644]],
  "vol_a3_per_cell": 49.20,
  "space_group": "No. 123",
  "formation_enthalpy_0k_ev_per_atom": -0.03,
  "dos_at_fermi_per_ev_atom": 0.7242,
  "magmom_total_mub_per_cell": 0.00
}

No. 3
{
  "formula": "NiGeRu",
  "functional": "PBE",
  "state": "relaxed",
  "cell": [[6.3898, -1.4614, 0.0000], [6.3898, 1.4614, 0.0000], [-0.1055, 0.0000, 4.2821]],
  "species": ["Ni", "Ni", "Ge", "Ge", "Ru", "Ru"],
  "frac_coords": [[0.0000, 0.0000, 0.0000], [0.1713, 0.1713, 0.6430], [0.5232, 0.5232, 0.5277], [0.8244, 0.8244, 0.7582], [0.3419, 0.3419, 0.2685], [0.6674, 0.6674, 0.1390]],
  "vol_a3_per_cell": 79.97,
  "space_group": "No. 8",
  "formation_enthalpy_0k_ev_per_atom": -0.09,
  "dos_at_fermi_per_ev_atom": 0.6762,
  "magmom_total_mub_per_cell": 0.00
}

No. 4
{
  "formula": "ReNi2PdRu",
  "functional": "PBE",
  "state": "relaxed",
  "cell": [[4.4532, 0.0000, 0.0000], [0.0000, 4.4532, 0.0000], [0.0000, 0.0000, 4.5901]],
  "species": ["Re", "Ni", "Ni", "Pd", "Ru"],
  "frac_coords": [[0.0000, 0.0000, 0.0000], [0.0000, 0.5000, 0.5000], [0.5000, 0.0000, 0.5000], [0.5000, 0.5000, 0.0000], [0.0000, 0.0000, 0.5000]],
  "vol_a3_per_cell": 91.03,
  "space_group": "No. 123",
  "formation_enthalpy_0k_ev_per_atom": 1.58,
  "dos_at_fermi_per_ev_atom": 1.7007,
  "magmom_total_mub_per_cell": 1.39
}